[1]
Entry from Alexandria via LeMat-Bulk: FeSnBrF2 after structural relaxation (PBE+U).

Raw total energy (eV per formula unit): -20.551
N(E_F) (states/eV/f.u.): 1.85

Unit cell a=4.399 b=4.399 c=6.381 alpha=90.00 beta=90.00 gamma=90.00
Element x y z (fractional)
1 Fe 0.000 0.000 0.000
2 Sn 0.000 0.000 0.500
3 Br 0.500 0.500 0.000
4 F 0.000 0.500 0.500
5 F 0.500 0.000 0.500

---

[2]
Entry from Alexandria via LeMat-Bulk: FeTe2BrF after structural relaxation (PBE+U).

Raw total energy (eV per formula unit): -14.358
N(E_F) (states/eV/f.u.): 4.09

Unit cell a=5.228 b=5.228 c=5.056 alpha=90.00 beta=90.00 gamma=90.00
Element x y z (fractional)
1 Fe 0.000 0.000 0.000
2 Te 0.000 0.500 0.000
3 Te 0.500 0.000 0.000
4 Br 0.000 0.000 0.500
5 F 0.500 0.500 0.500

---

[3]
Entry from Alexandria via LeMat-Bulk: Tl2FeBr2F2 after structural relaxation (PBE+U).

Raw total energy (eV per formula unit): -27.884
N(E_F) (states/eV/f.u.): 0.00

Unit cell a=6.724 b=6.724 c=7.907 alpha=119.00 beta=119.00 gamma=35.33
Element x y z (fractional)
1 Tl 0.181 0.181 0.221
2 Tl 0.819 0.819 0.779
3 Fe 0.000 0.000 0.500
4 Br 0.448 0.448 0.229
5 Br 0.552 0.552 0.771
6 F 0.171 0.171 0.565
7 F 0.829 0.829 0.435

---

[4]
Entry from Alexandria via LeMat-Bulk: TlFeBr2F after structural relaxation (PBE+U).

Raw total energy (eV per formula unit): -19.642
N(E_F) (states/eV/f.u.): 0.00

Unit cell a=5.533 b=5.533 c=4.024 alpha=90.00 beta=90.00 gamma=90.00
Element x y z (fractional)
1 Tl 0.000 0.000 0.000
2 Fe 0.500 0.500 0.500
3 Br 0.000 0.500 0.500
4 Br 0.500 0.000 0.500
5 F 0.500 0.500 0.000

---

[5]
Entry from Alexandria via LeMat-Bulk: ZrFe2BrF after structural relaxation (PBE+U).

Raw total energy (eV per formula unit): -19.227
N(E_F) (states/eV/f.u.): 3.68

Unit cell a=4.703 b=4.703 c=5.126 alpha=90.00 beta=90.00 gamma=90.00
Element x y z (fractional)
1 Zr 0.000 0.000 0.000
2 Fe 0.000 0.500 0.500
3 Fe 0.500 0.000 0.500
4 Br 0.000 0.000 0.500
5 F 0.500 0.500 0.000

---

Which formula does entry 4 have? TlFeBr2F